1.
{
  "formula": "MgFeSe2Br",
  "functional": "PBE",
  "state": "relaxed",
  "lattice": [[4.716, 0.000, 0.000], [0.000, 4.716, 0.000], [0.000, 0.000, 5.329]],
  "species": ["Br", "Se", "Mg", "Se", "Fe"],
  "frac_coords": [[0.000, 0.000, 0.500], [0.500, 0.000, 0.000], [0.500, 0.500, 0.500], [0.000, 0.500, 0.000], [0.000, 0.000, 0.000]],
  "e_tot_ev_per_atom": -3.818,
  "polymorph_energy_kj_per_mol_atoms": 0.0,
  "space_group": "No. 123",
  "n_ef_per_ev_fu": 3.4
}

***

2.
{
  "formula": "Mg2FeSeBr",
  "functional": "PBE",
  "state": "relaxed",
  "lattice": [[-2.832, 2.419, -3.544], [-0.977, -4.498, -2.290], [-3.417, -0.481, 2.403]],
  "species": ["Fe", "Se", "Mg", "Mg", "Br"],
  "frac_coords": [[0.000, 0.000, 0.000], [0.500, 0.500, 0.500], [0.000, 0.500, 0.000], [0.500, 0.000, 0.000], [0.000, 0.000, 0.500]],
  "e_tot_ev_per_atom": -3.206,
  "space_group": "No. 123",
  "n_ef_per_ev_fu": 3.3
}

***

3.
{
  "formula": "Mg2FeTeBr",
  "functional": "PBE",
  "state": "relaxed",
  "lattice": [[-2.148, -4.990, 1.768], [3.478, -2.286, -2.225], [3.208, 0.291, 4.718]],
  "species": ["Mg", "Te", "Mg", "Fe", "Br"],
  "frac_coords": [[0.000, 0.000, 0.500], [0.000, 0.000, 0.000], [0.500, 0.000, 0.000], [0.000, 0.500, 0.000], [0.500, 0.500, 0.500]],
  "e_tot_ev_per_atom": -2.977,
  "space_group": "No. 123",
  "n_ef_per_ev_fu": 4.8
}

***

4.
{
  "formula": "MgFeTeBr2",
  "functional": "PBE",
  "state": "relaxed",
  "lattice": [[4.779, 0.000, 0.000], [0.000, 10.599, 0.000], [0.000, 0.000, 4.779]],
  "species": ["Fe", "Te", "Mg", "Br", "Br"],
  "frac_coords": [[0.000, 0.500, 0.000], [0.500, 0.500, 0.500], [0.000, 0.000, 0.000], [0.500, 0.000, 0.000], [0.000, 0.000, 0.500]],
  "e_tot_ev_per_atom": -3.143,
  "space_group": "No. 123",
  "n_ef_per_ev_fu": 2.1
}

***

5.
{
  "formula": "Mg2TlFeBr",
  "functional": "PBE",
  "state": "relaxed",
  "lattice": [[5.414, 0.000, 0.000], [0.000, 5.957, 0.000], [0.000, 0.000, 5.414]],
  "species": ["Mg", "Mg", "Br", "Tl", "Fe"],
  "frac_coords": [[0.000, 0.000, 0.500], [0.500, 0.000, 0.000], [0.000, 0.500, 0.000], [0.000, 0.000, 0.000], [0.500, 0.500, 0.500]],
  "e_tot_ev_per_atom": -2.305,
  "space_group": "No. 123",
  "n_ef_per_ev_fu": 9.6
}

***

6.
{
  "formula": "Mn3FeBr",
  "functional": "PBE",
  "state": "relaxed",
  "lattice": [[4.565, 0.000, 0.000], [0.000, 4.565, 0.000], [0.000, 0.000, 4.565]],
  "species": ["Br", "Fe", "Mn", "Mn", "Mn"],
  "frac_coords": [[0.500, 0.500, 0.500], [0.000, 0.000, 0.000], [0.500, 0.000, 0.000], [0.000, 0.500, 0.000], [0.000, 0.000, 0.500]],
  "e_tot_ev_per_atom": -6.598,
  "polymorph_energy_kj_per_mol_atoms": 0.0,
  "space_group": "No. 221",
  "n_ef_per_ev_fu": 6.1
}

***

7.
{
  "formula": "MnFe3Br9",
  "functional": "PBE",
  "state": "relaxed",
  "lattice": [[-7.100, -3.445, -4.952], [2.101, -7.541, -6.531], [-4.764, -9.314, 4.547]],
  "species": ["Fe", "Br", "Br", "Br", "Br", "Br", "Br", "Br", "Fe", "Br", "Br", "Fe", "Fe", "Br", "Fe", "Br", "Br", "Br", "Fe", "Br", "Br", "Mn", "Br", "Br", "Br", "Mn"],
  "frac_coords": [[0.804, 0.558, 0.681], [0.727, 0.738, 0.068], [0.807, 0.940, 0.368], [0.333, 0.183, 0.328], [0.429, 0.795, 0.431], [0.156, 0.683, 0.828], [0.937, 0.297, 0.194], [0.572, 0.797, 0.694], [0.230, 0.446, 0.325], [0.776, 0.996, 0.742], [0.839, 0.070, 0.022], [0.999, 0.946, 0.825], [0.461, 0.747, 0.226], [0.466, 0.238, 0.568], [0.566, 0.247, 0.726], [0.158, 0.086, 0.682], [0.727, 0.403, 0.608], [0.074, 0.586, 0.182], [0.957, 0.058, 0.181], [0.345, 0.295, 0.931], [0.885, 0.440, 0.868], [0.018, 0.498, 0.004], [0.486, 0.496, 0.242], [0.263, 0.903, 0.108], [0.070, 0.570, 0.522], [0.480, 0.998, 0.504]],
  "e_tot_ev_per_atom": -4.298,
  "space_group": "No. 9",
  "n_ef_per_ev_fu": 13.6
}

***

8.
{
  "formula": "MnFeBr4",
  "functional": "PBE",
  "state": "relaxed",
  "lattice": [[-1.087, -4.193, -4.202], [4.353, -3.468, 2.334], [-7.381, -4.772, 6.672]],
  "species": ["Mn", "Br", "Br", "Br", "Br", "Fe", "Mn", "Br", "Br", "Fe", "Br", "Br"],
  "frac_coords": [[0.000, 0.000, 0.000], [0.236, 0.262, 0.375], [0.262, 0.236, 0.875], [0.764, 0.738, 0.375], [0.764, 0.262, 0.125], [0.000, 0.500, 0.250], [0.000, 0.000, 0.500], [0.738, 0.236, 0.625], [0.738, 0.764, 0.875], [0.500, 0.000, 0.750], [0.236, 0.738, 0.125], [0.262, 0.764, 0.625]],
  "e_tot_ev_per_atom": -4.607,
  "polymorph_energy_kj_per_mol_atoms": 0.0,
  "space_group": "No. 112",
  "n_ef_per_ev_fu": 5.2
}

***

9.
{
  "formula": "MnFe4Br",
  "functional": "PBE",
  "state": "relaxed",
  "lattice": [[0.000, 3.466, 3.466], [3.466, 0.000, 3.466], [3.466, 3.466, 0.000]],
  "species": ["Fe", "Br", "Fe", "Fe", "Fe", "Mn"],
  "frac_coords": [[0.624, 0.624, 0.624], [0.000, 0.000, 0.000], [0.128, 0.624, 0.624], [0.624, 0.128, 0.624], [0.624, 0.624, 0.128], [0.250, 0.250, 0.250]],
  "e_tot_ev_per_atom": -6.823,
  "space_group": "No. 216",
  "n_ef_per_ev_fu": 6.2
}

***

10.
{
  "formula": "MnFe2Br6",
  "functional": "PBE",
  "state": "relaxed",
  "lattice": [[6.944, -0.285, -0.276], [1.656, 8.714, 0.146], [1.656, 0.429, 8.705]],
  "species": ["Br", "Br", "Br", "Br", "Br", "Mn", "Fe", "Br", "Br", "Br", "Br", "Fe", "Br", "Fe", "Br", "Br", "Fe", "Mn"],
  "frac_coords": [[0.384, 0.035, 0.189], [0.378, 0.708, 0.550], [0.366, 0.377, 0.879], [0.622, 0.292, 0.450], [0.634, 0.623, 0.121], [0.750, 0.890, 0.110], [0.820, 0.389, 0.221], [0.616, 0.965, 0.811], [0.116, 0.811, 0.965], [0.878, 0.550, 0.708], [0.866, 0.879, 0.377], [0.320, 0.221, 0.389], [0.134, 0.121, 0.623], [0.180, 0.611, 0.779], [0.884, 0.189, 0.035], [0.122, 0.450, 0.292], [0.680, 0.779, 0.611], [0.250, 0.110, 0.890]],
  "e_tot_ev_per_atom": -4.482,
  "space_group": "No. 15",
  "n_ef_per_ev_fu": 10.5
}

***

11.
{
  "formula": "Mn2Fe2Br",
  "functional": "PBE",
  "state": "relaxed",
  "lattice": [[3.193, 0.000, 0.000], [0.000, 3.193, 0.000], [1.596, 1.596, 7.189]],
  "species": ["Mn", "Fe", "Fe", "Br", "Mn"],
  "frac_coords": [[0.250, 0.750, 0.500], [0.618, 0.618, 0.764], [0.382, 0.382, 0.236], [0.000, 0.000, 0.000], [0.750, 0.250, 0.500]],
  "e_tot_ev_per_atom": -6.765,
  "space_group": "No. 139",
  "n_ef_per_ev_fu": 5.5
}

***

12.
{
  "formula": "MnFe2Br8",
  "functional": "PBE",
  "state": "relaxed",
  "lattice": [[6.449, 0.144, 0.109], [0.283, 8.035, -0.336], [0.283, 1.840, 7.829]],
  "species": ["Br", "Mn", "Br", "Fe", "Br", "Br", "Br", "Br", "Br", "Br", "Fe"],
  "frac_coords": [[0.727, 0.187, 0.187], [0.000, 0.000, 0.000], [0.775, 0.723, 0.084], [0.641, 0.806, 0.806], [0.239, 0.372, 0.372], [0.225, 0.277, 0.916], [0.775, 0.084, 0.723], [0.273, 0.813, 0.813], [0.761, 0.628, 0.628], [0.225, 0.916, 0.277], [0.359, 0.194, 0.194]],
  "e_tot_ev_per_atom": -4.125,
  "space_group": "No. 12",
  "n_ef_per_ev_fu": 0.5
}

***

13.
{
  "formula": "MnFeBr4",
  "functional": "PBE",
  "state": "relaxed",
  "lattice": [[0.000, 4.404, 4.404], [4.404, 0.000, 4.404], [4.404, 4.404, 0.000]],
  "species": ["Br", "Br", "Br", "Br", "Mn", "Fe"],
  "frac_coords": [[0.375, 0.875, 0.375], [0.375, 0.375, 0.375], [0.875, 0.375, 0.375], [0.375, 0.375, 0.875], [0.000, 0.000, 0.000], [0.750, 0.750, 0.750]],
  "e_tot_ev_per_atom": -2.881,
  "polymorph_energy_kj_per_mol_atoms": 166.5,
  "space_group": "No. 216",
  "n_ef_per_ev_fu": 14.9
}

***

14.
{
  "formula": "MnFe3Br",
  "functional": "PBE",
  "state": "relaxed",
  "lattice": [[4.373, 0.000, 0.000], [0.000, 4.373, 0.000], [0.000, 0.000, 4.373]],
  "species": ["Mn", "Fe", "Fe", "Fe", "Br"],
  "frac_coords": [[0.000, 0.000, 0.000], [0.500, 0.000, 0.000], [0.000, 0.000, 0.500], [0.000, 0.500, 0.000], [0.500, 0.500, 0.500]],
  "e_tot_ev_per_atom": -5.984,
  "polymorph_energy_kj_per_mol_atoms": 0.0,
  "space_group": "No. 221",
  "n_ef_per_ev_fu": 8.2
}

***

15.
{
  "formula": "MnFeBr4",
  "functional": "PBE",
  "state": "relaxed",
  "lattice": [[-2.739, -2.406, 5.787], [6.162, 0.158, 2.966], [-1.512, 8.221, 2.702]],
  "species": ["Br", "Br", "Fe", "Br", "Br", "Br", "Mn", "Br", "Mn", "Br", "Fe", "Br"],
  "frac_coords": [[0.694, 0.287, 0.502], [0.287, 0.694, 0.498], [0.662, 0.662, 0.000], [0.798, 0.790, 0.237], [0.790, 0.798, 0.763], [0.202, 0.210, 0.737], [0.832, 0.168, 0.750], [0.713, 0.306, 0.998], [0.168, 0.832, 0.250], [0.306, 0.713, 0.002], [0.338, 0.338, 0.500], [0.210, 0.202, 0.263]],
  "e_tot_ev_per_atom": -4.596,
  "polymorph_energy_kj_per_mol_atoms": 1.0,
  "space_group": "No. 20",
  "n_ef_per_ev_fu": 6.1
}

***

16.
{
  "formula": "MnFeBr5",
  "functional": "PBE",
  "state": "relaxed",
  "lattice": [[7.536, 0.000, 0.000], [0.000, 9.112, 0.000], [0.000, 0.000, 15.609]],
  "species": ["Mn", "Br", "Br", "Fe", "Br", "Br", "Br", "Br", "Br", "Fe", "Br", "Fe", "Br", "Mn", "Br", "Br", "Br", "Br", "Br", "Mn", "Br", "Br", "Br", "Br", "Br", "Fe", "Mn", "Br"],
  "frac_coords": [[0.750, 0.165, 0.448], [0.484, 0.640, 0.612], [0.000, 0.500, 0.000], [0.250, 0.477, 0.345], [0.750, 0.279, 0.606], [0.750, 0.221, 0.106], [0.250, 0.013, 0.694], [0.984, 0.140, 0.888], [0.000, 0.000, 0.500], [0.750, 0.977, 0.155], [0.250, 0.487, 0.194], [0.250, 0.023, 0.845], [0.516, 0.360, 0.388], [0.750, 0.335, 0.948], [0.016, 0.860, 0.112], [0.250, 0.721, 0.394], [0.984, 0.360, 0.388], [0.484, 0.860, 0.112], [0.750, 0.513, 0.806], [0.250, 0.835, 0.552], [0.516, 0.140, 0.888], [0.500, 0.500, 0.000], [0.500, 0.000, 0.500], [0.016, 0.640, 0.612], [0.250, 0.779, 0.894], [0.750, 0.523, 0.655], [0.250, 0.665, 0.052], [0.750, 0.987, 0.306]],
  "e_tot_ev_per_atom": -4.248,
  "space_group": "No. 62",
  "n_ef_per_ev_fu": 0.4
}

***

17.
{
  "formula": "MnFeBr3",
  "functional": "PBE",
  "state": "relaxed",
  "lattice": [[5.153, 0.000, 0.000], [0.000, 5.153, 0.000], [0.000, 0.000, 5.153]],
  "species": ["Mn", "Br", "Br", "Fe", "Br"],
  "frac_coords": [[0.500, 0.500, 0.500], [0.000, 0.000, 0.500], [0.500, 0.000, 0.000], [0.000, 0.000, 0.000], [0.000, 0.500, 0.000]],
  "e_tot_ev_per_atom": -4.370,
  "polymorph_energy_kj_per_mol_atoms": 0.0,
  "space_group": "No. 221",
  "n_ef_per_ev_fu": 7.3
}

***

18.
{
  "formula": "MnFe3Br",
  "functional": "PBE",
  "state": "relaxed",
  "lattice": [[4.306, 0.000, 0.000], [0.000, 4.306, 0.000], [0.000, 0.000, 4.306]],
  "species": ["Fe", "Fe", "Fe", "Mn", "Br"],
  "frac_coords": [[0.000, 0.000, 0.500], [0.500, 0.000, 0.000], [0.000, 0.500, 0.000], [0.500, 0.500, 0.500], [0.000, 0.000, 0.000]],
  "e_tot_ev_per_atom": -5.601,
  "polymorph_energy_kj_per_mol_atoms": 37.0,
  "space_group": "No. 221",
  "n_ef_per_ev_fu": 10.1
}

***

19.
{
  "formula": "Mn2Fe2Br",
  "functional": "PBE",
  "state": "relaxed",
  "lattice": [[7.050, 0.000, 0.000], [0.000, 7.050, 0.000], [0.000, 0.000, 2.578]],
  "species": ["Mn", "Mn", "Fe", "Fe", "Fe", "Mn", "Br", "Mn", "Br", "Fe"],
  "frac_coords": [[0.119, 0.619, 0.500], [0.619, 0.881, 0.500], [0.839, 0.661, 0.000], [0.161, 0.339, 0.000], [0.339, 0.839, 0.000], [0.881, 0.381, 0.500], [0.000, 0.000, 0.000], [0.381, 0.119, 0.500], [0.500, 0.500, 0.000], [0.661, 0.161, 0.000]],
  "e_tot_ev_per_atom": -6.634,
  "space_group": "No. 127",
  "n_ef_per_ev_fu": 5.1
}

***

20.
{
  "formula": "Mn3FeBr",
  "functional": "PBE",
  "state": "relaxed",
  "lattice": [[4.232, 0.000, 0.000], [0.000, 4.232, 0.000], [0.000, 0.000, 4.232]],
  "species": ["Fe", "Mn", "Br", "Mn", "Mn"],
  "frac_coords": [[0.500, 0.500, 0.500], [0.500, 0.000, 0.000], [0.000, 0.000, 0.000], [0.000, 0.500, 0.000], [0.000, 0.000, 0.500]],
  "e_tot_ev_per_atom": -5.664,
  "polymorph_energy_kj_per_mol_atoms": 90.2,
  "space_group": "No. 221",
  "n_ef_per_ev_fu": 12.4
}

***

21.
{
  "formula": "MnFeBr6",
  "functional": "PBE",
  "state": "relaxed",
  "lattice": [[7.017, -1.006, -0.983], [-3.085, 6.383, -0.983], [0.568, 0.777, 6.034]],
  "species": ["Fe", "Br", "Br", "Br", "Br", "Br", "Mn", "Br"],
  "frac_coords": [[0.000, 0.000, 0.000], [0.702, 0.702, 0.204], [0.284, 0.006, 0.285], [0.006, 0.284, 0.285], [0.994, 0.716, 0.715], [0.716, 0.994, 0.715], [0.000, 0.000, 0.500], [0.298, 0.298, 0.796]],
  "e_tot_ev_per_atom": -3.974,
  "space_group": "No. 12",
  "n_ef_per_ev_fu": 2.6
}

***

22.
{
  "formula": "Mn2FeBrN",
  "functional": "PBE",
  "state": "relaxed",
  "lattice": [[4.719, 0.000, 0.000], [0.000, 4.349, 0.000], [0.000, 0.000, 4.719]],
  "species": ["Mn", "Mn", "N", "Fe", "Br"],
  "frac_coords": [[0.000, 0.000, 0.500], [0.500, 0.000, 0.000], [0.500, 0.500, 0.500], [0.000, 0.000, 0.000], [0.000, 0.500, 0.000]],
  "e_tot_ev_per_atom": -5.689,
  "space_group": "No. 123",
  "n_ef_per_ev_fu": 2.5
}